Here is a relaxed Pm2TlBi crystal from Alexandria. Energies are from PBE-GGA.

The structure belongs to space group Fm-3m (No. 225); the cell edges are 7.8513, 7.8513 and 7.8513 Å and the angles 90.00°, 90.00° and 90.00°. The distinct sites, in fractional coordinates, are Pm at (0.2500, 0.2500, 0.2500), Tl at (0.0000, 0.0000, 0.0000) and Bi at (0.0000, 0.0000, 0.5000).

The formation energy comes out at -0.4715 eV/atom. The calculation puts the final energy at -4.409 eV per atom. The energy above the most stable polymorph in this dataset comes out at 0.1621 eV/atom.